# 1
4
Lattice="4.829 0.000 0.000 0.000 4.829 0.000 0.000 0.000 4.370" Properties=species:S:1:pos:R:3 comment="LuPaSn2 (PBE, optimized geometry)" dft_energy_ev_per_atom=-5.86 rho_kg_m3=10484 e_above_lowest_polymorph_mev_per_atom=0.0 delta_e_f_ev_per_fu=-1.40 pbc="T T T"
Lu 0.000 0.000 0.000
Pa 2.415 2.415 0.000
Sn 0.000 2.415 2.185
Sn 2.415 0.000 2.185

# 2
10
Lattice="4.456 -8.394 0.000 4.456 8.394 0.000 0.000 0.000 5.677" Properties=species:S:1:pos:R:3 comment="Nd7SmTh2 (PBE, optimized geometry)" dft_energy_ev_per_atom=-4.59 rho_kg_m3=6350 delta_e_f_ev_per_fu=7.07 pbc="T T T"
Nd 0.000 0.000 0.000
Nd 2.864 1.903 0.000
Nd 4.456 3.713 2.839
Nd 2.864 -1.903 0.000
Nd 6.048 1.903 0.000
Nd 4.456 -3.713 2.839
Nd 6.048 -1.903 0.000
Sm 4.456 0.000 2.839
Th 4.456 4.981 0.000
Th 4.456 -4.981 0.000

# 3
4
Lattice="0.000 3.538 3.538 3.538 0.000 3.538 3.538 3.538 0.000" Properties=species:S:1:pos:R:3 comment="Zr2TlAu (PBE, optimized geometry)" dft_energy_ev_per_atom=-5.53 rho_kg_m3=10944 delta_e_f_ev_per_fu=0.62 pbc="T T T"
Zr 0.000 0.000 0.000
Zr 1.769 1.769 1.769
Tl 5.307 5.307 5.307
Au 3.538 3.538 3.538

# 4
4
Lattice="0.000 3.265 3.265 3.265 0.000 3.265 3.265 3.265 0.000" Properties=species:S:1:pos:R:3 comment="TmBeAlAg (PBE, optimized geometry)" dft_energy_ev_per_atom=-3.82 rho_kg_m3=7462 delta_e_f_ev_per_fu=-0.48 pbc="T T T"
Tm 0.000 0.000 0.000
Be 4.897 4.897 4.897
Al 3.265 3.265 3.265
Ag 1.632 1.632 1.632

# 5
10
Lattice="4.426 0.000 0.000 0.000 4.426 0.000 0.000 0.000 10.405" Properties=species:S:1:pos:R:3 comment="Li3Ac2CuGe4 (PBE, optimized geometry)" dft_energy_ev_per_atom=-4.17 rho_kg_m3=6753 delta_e_f_ev_per_fu=-5.20 pbc="T T T"
Li 0.000 0.000 0.000
Li 0.000 2.213 6.565
Li 2.213 0.000 3.841
Ac 0.000 2.213 2.533
Ac 2.213 0.000 7.872
Cu 2.213 2.213 0.000
Ge 0.000 0.000 5.203
Ge 0.000 2.213 9.156
Ge 2.213 0.000 1.249
Ge 2.213 2.213 5.203

# 6
9
Lattice="6.726 -1.958 0.000 6.726 1.958 0.000 -3.658 0.000 11.719" Properties=species:S:1:pos:R:3 comment="La6SmTl2 (PBE, optimized geometry)" dft_energy_ev_per_atom=-4.51 rho_kg_m3=7490 delta_e_f_ev_per_fu=-1.55 pbc="T T T"
La -1.011 0.000 4.020
La 2.635 0.000 4.769
La 3.858 0.000 1.457
La 5.936 0.000 10.262
La 7.158 0.000 6.951
La 10.804 0.000 7.699
Sm 0.000 0.000 0.000
Tl 1.900 0.000 9.438
Tl 7.893 0.000 2.282